(1)
This record from Alexandria describes a relaxed AsRu2Cl crystal. The functional is PBE.

a = 3.7074 Å, b = 3.0066 Å, c = 6.4874 Å
α = 99.78°, β = 90.00°, γ = 90.00°
Closest atoms and distances in Å follow each position.
Fractional positions:
Ru: 0.0000 0.9147 0.0650  2 As 2.34
Ru: 0.0000 0.5853 0.4350  2 As 2.34
As: 0.5000 0.2500 0.2500  4 Ru 2.34
Cl: 0.5000 0.7500 0.7500  4 Ru 2.74, 2 Cl 3.01

Energy above the most stable polymorph in this dataset: 0.2823 eV per atom
DOS(E_F): 3.64 states/eV/cell
Space-group type: No. 10

(2)
This record from Alexandria describes a relaxed AsRu2Cl crystal. The functional is PBE.

a = 6.0433 Å, b = 6.0433 Å, c = 6.0433 Å
α = 152.29°, β = 141.83°, γ = 47.81°
Closest atoms and distances in Å follow each position.
Fractional positions:
Ru: 0.9577 0.9577 0.0000  4 As 2.61, 4 Ru 2.85-2.89, 2 Cl 2.88
Ru: 0.7351 0.2351 0.5000  4 Cl 2.48, 2 As 2.61
As: 0.5386 0.5386 0.0000  6 Ru 2.61, 2 As 2.89
Cl: 0.2686 0.7686 0.5000  4 Ru 2.48

Energy above the most stable polymorph in this dataset: 0.2992 eV per atom
DOS(E_F): 3.61 states/eV/cell
Space-group type: No. 44

(3)
This record from Alexandria describes a relaxed As4RuCl crystal. The functional is PBE.

a = 5.6262 Å, b = 5.6262 Å, c = 5.6262 Å
α = 60.00°, β = 60.00°, γ = 60.00°
Closest atoms and distances in Å follow each position.
Fractional positions:
As: 0.8407 0.3864 0.3864  3 As 2.56
As: 0.3864 0.3864 0.8407  3 As 2.56
As: 0.3864 0.8407 0.3864  3 As 2.56
As: 0.3864 0.3864 0.3864  3 As 2.56
Ru: 0.0000 0.0000 0.0000  12 As 3.33, 4 Cl 3.45
Cl: 0.7500 0.7500 0.7500  12 As 3.27, 4 Ru 3.45

DOS(E_F): 4.79 states/eV/cell
Space-group type: No. 216

| no. | formation energy without anion corrections (eV per atom) | total energy (eV/atom) |
| --- | --- | --- |
| 1 | 0.36 | -5.898 |
| 2 | 0.38 | -5.881 |
| 3 | 0.73 | -4.225 |